Density functional theory data (PBE) for a geometry-optimized RbBaMgSi2 structure.

```
5
Lattice="5.858 0.000 0.000 0.000 5.858 0.000 0.000 0.000 6.590" Properties=species:S:1:pos:R:3 pbc="T T T"
Rb 0.000 0.000 0.000
Ba 0.000 0.000 3.295
Mg 2.929 2.929 0.000
Si 0.000 2.929 3.295
Si 2.929 0.000 3.295
```

Values from the calculation:
Raw total energy (eV/atom): -1.910
Formation energy without anion corrections (meV/atom): 1156
Density (g/cm3): 2.23
Total magnetic moment (μB/cell): 0.1